[1]
Density functional theory data (PBE) for a relaxed structure of SmErGa2Ag2.

Output
distance to the lowest polymorph of the same formula: 0 meV per atom
magnetization: 0.0 Bohr magnetons per cell
calculated volume: 129.8 Å³/f.u.

```
SmErGa2Ag2
1.0
4.593 0.000 0.000
-2.296 3.977 0.000
0.000 0.000 7.105
Er Ag Ga Sm
1 2 2 1
Cartesian
0.000 0.000 0.000 Er
0.000 2.652 5.274 Ag
0.000 2.652 1.831 Ag
2.296 1.326 1.540 Ga
2.296 1.326 5.565 Ga
0.000 0.000 3.553 Sm
```

=====

[2]
Density functional theory data (PBE) for a relaxed structure of K2Ba2Zn3.

Output
energy: -1.339 eV/atom
calculated volume: 272.2 Å³/f.u.

```
K2Ba2Zn3
1.0
9.451 2.694 -1.539
9.026 1.138 4.023
9.511 -2.913 -0.087
Zn K Ba
3 2 2
Cartesian
10.419 0.342 0.892 Zn
17.497 0.574 1.498 Zn
24.552 0.806 2.103 Zn
6.972 0.229 0.597 K
20.998 0.689 1.798 K
14.036 0.461 1.202 Ba
27.974 0.918 2.396 Ba
```

=====

[3]
Density functional theory data (PBE) for a relaxed structure of Ho2Co12P7.

Output
distance to the lowest polymorph of the same formula: 10 meV per atom
magnetization: 0.1 Bohr magnetons per cell
calculated volume: 248.7 Å³/f.u.

```
Ho2Co12P7
1.0
-6.106 2.222 -6.180
-2.011 -6.032 6.325
-1.190 2.617 2.117
P Co Ho
7 12 2
Cartesian
0.000 0.000 0.000 P
-3.078 -0.869 -0.656 P
-4.537 0.887 -3.648 P
-5.672 -1.641 1.850 P
-6.609 -1.605 -1.732 P
-2.085 -0.869 2.913 P
-4.157 -3.405 4.882 P
-1.492 -1.303 0.772 Co
-2.424 -4.837 4.616 Co
-3.809 -0.465 1.445 Co
-7.445 -1.385 0.537 Co
-5.950 -3.153 3.563 Co
-2.771 0.602 -2.302 Co
-6.492 -0.166 -3.444 Co
-2.225 1.209 0.265 Co
-6.213 -3.701 1.082 Co
-6.340 2.514 -3.661 Co
-2.155 -2.297 4.639 Co
-4.962 -2.023 -0.289 Co
-5.337 0.780 -0.953 Ho
-3.376 -3.280 2.157 Ho
```

=====

[4]
Density functional theory data (PBE) for a relaxed structure of Zr2Pt.

Output
ΔE_f: -528.5 meV/atom
magnetization: 0.1 Bohr magnetons per cell
calculated volume: 62.7 Å³/f.u.

```
Zr2Pt
1.0
5.935 13.576 0.000
-4.887 6.329 0.000
0.000 0.000 4.825
Pt Zr
8 16
Cartesian
0.494 5.599 2.413 Pt
4.828 12.902 0.000 Pt
3.012 10.952 0.000 Pt
-0.351 8.623 2.413 Pt
2.314 7.546 2.413 Pt
0.790 16.207 0.000 Pt
-0.802 6.983 0.000 Pt
1.237 17.849 2.413 Pt
-2.078 6.307 2.413 Zr
-0.487 4.202 0.000 Zr
-2.863 9.717 2.413 Zr
1.902 10.202 2.413 Zr
3.200 12.930 2.413 Zr
1.064 12.832 0.000 Zr
-0.287 9.884 0.000 Zr
3.424 8.296 0.000 Zr
2.125 5.570 0.000 Zr
-0.624 11.996 2.413 Zr
-3.400 8.037 0.000 Zr
-3.422 4.949 0.000 Zr
0.725 14.945 2.413 Zr
3.300 15.114 0.000 Zr
-0.125 0.725 2.413 Zr
-2.100 3.219 2.413 Zr
```

=====

[5]
Density functional theory data (PBE) for a relaxed structure of ZrTlCuW.

Output
distance to the lowest polymorph of the same formula: 0 meV per atom
magnetization: 0.3 Bohr magnetons per cell
calculated volume: 75.2 Å³/f.u.

```
ZrTlCuW
1.0
0.000 3.351 3.351
3.351 0.000 3.351
3.351 3.351 0.000
Cu Tl W Zr
1 1 1 1
Cartesian
5.026 5.026 5.026 Cu
0.000 0.000 0.000 Tl
1.675 1.675 1.675 W
3.351 3.351 3.351 Zr
```

=====

[6]
Density functional theory data (PBE) for a relaxed structure of Na2NpI6.

Output
energy: -3.728 eV/atom
magnetization: 6.0 Bohr magnetons per cell
calculated volume: 389.7 Å³/f.u.

```
Na2NpI6
1.0
-2.323 -7.124 0.462
6.576 -1.947 3.054
-5.117 2.487 12.605
I Np Na
12 2 4
Cartesian
0.201 -5.655 1.197 I
-2.979 -3.915 9.532 I
-3.481 0.320 11.314 I
0.507 -1.887 10.548 I
4.052 -3.415 2.319 I
-1.639 -0.719 7.063 I
2.115 -2.668 6.589 I
0.029 -1.386 2.668 I
0.774 -5.864 9.058 I
2.616 -6.903 4.807 I
-1.372 -4.696 5.574 I
-0.894 -5.197 13.453 I
0.000 0.000 0.000 Np
-0.432 -3.292 8.061 Np
-2.139 -2.462 12.264 Na
-3.411 1.658 8.401 Na
-1.707 0.829 4.203 Na
1.274 -4.121 3.857 Na
```

=====

[7]
Density functional theory data (PBE) for a relaxed structure of Na2UI6.

Output
energy: -3.604 eV/atom
magnetization: 2.0 Bohr magnetons per cell
calculated volume: 374.4 Å³/f.u.

```
Na2UI6
1.0
0.631 6.259 5.542
5.713 6.122 -0.406
-1.768 8.018 -1.694
I U Na
6 1 2
Cartesian
0.110 12.496 1.738 I
3.633 11.260 4.383 I
0.943 9.139 -0.941 I
4.466 7.903 1.704 I
0.325 8.520 3.550 I
4.251 11.879 -0.108 I
0.000 0.000 0.000 U
3.073 13.699 2.312 Na
1.503 6.699 1.130 Na
```

=====

[8]
Density functional theory data (PBE) for a relaxed structure of Nd2Pt2O5.

Output
distance to the lowest polymorph of the same formula: 336 meV per atom
magnetization: 0.1 Bohr magnetons per cell
calculated volume: 135.6 Å³/f.u.

```
Nd2Pt2O5
1.0
-0.723 6.270 -7.121
0.272 -2.812 -2.504
-3.755 -0.394 0.035
Pt O Nd
2 5 2
Cartesian
0.000 0.000 0.000 Pt
-0.362 3.135 -3.560 Pt
-2.103 1.532 -4.795 O
0.045 -0.618 -2.147 O
-1.968 0.591 -0.878 O
-2.510 5.285 -6.209 O
-0.497 4.076 -7.478 O
-2.276 3.028 -6.494 Nd
-1.931 0.036 -3.096 Nd
```

=====

[9]
Density functional theory data (PBE) for a relaxed structure of Th2S5.

Output
energy: -6.805 eV/atom
magnetization: 0.0 Bohr magnetons per cell
calculated volume: 148.8 Å³/f.u.

```
Th2S5
1.0
7.609 0.000 0.000
0.000 7.636 0.000
0.000 0.000 10.246
S Th
20 8
Cartesian
6.846 2.680 4.076 S
0.763 1.138 4.076 S
2.760 6.782 4.013 S
0.763 4.957 6.170 S
6.565 0.855 1.110 S
4.848 4.673 4.013 S
0.000 1.909 7.697 S
2.760 2.963 6.233 S
6.846 6.498 6.170 S
1.044 6.782 9.136 S
3.042 4.957 1.047 S
3.042 1.138 9.199 S
4.567 6.498 1.047 S
6.565 4.673 9.136 S
4.567 2.680 9.199 S
0.000 5.727 2.548 S
1.044 2.963 1.110 S
4.848 0.855 6.233 S
3.804 1.909 2.574 S
3.804 5.727 7.671 S
2.021 3.949 3.629 Th
2.021 0.131 6.617 Th
5.826 3.687 1.494 Th
5.587 3.687 6.617 Th
1.783 3.949 8.752 Th
1.783 0.131 1.494 Th
5.826 7.505 8.752 Th
5.587 7.505 3.629 Th
```

=====

[10]
Density functional theory data (PBE) for a relaxed structure of Li2HfSn.

Output
energy: -4.524 eV/atom
magnetization: 0.0 Bohr magnetons per cell
calculated volume: 76.3 Å³/f.u.

```
Li2HfSn
1.0
0.911 -3.177 3.426
-2.177 0.358 4.218
-3.319 -3.178 1.243
Sn Li Hf
1 2 1
Cartesian
-2.292 -2.998 4.443 Sn
0.000 0.000 0.000 Li
-3.438 -4.497 6.665 Li
-1.146 -1.499 2.222 Hf
```

=====

[11]
Density functional theory data (PBE) for a relaxed structure of Li4In2AgIr.

Output
energy: -3.385 eV/atom
magnetization: 0.0 Bohr magnetons per cell
calculated volume: 132.0 Å³/f.u.

```
Li4In2AgIr
1.0
4.531 0.000 0.000
0.000 4.531 0.000
0.000 0.000 6.430
Li Ir In Ag
4 1 2 1
Cartesian
2.266 0.000 4.784 Li
2.266 2.266 3.215 Li
0.000 0.000 0.000 Li
0.000 2.266 1.646 Li
0.000 0.000 3.215 Ir
0.000 2.266 4.704 In
2.266 0.000 1.726 In
2.266 2.266 0.000 Ag
```

=====

[12]
Density functional theory data (PBE) for a relaxed structure of Li2AlZn2GePt2.

Output
energy: -3.947 eV/atom
magnetization: 0.0 Bohr magnetons per cell
calculated volume: 114.2 Å³/f.u.

```
Li2AlZn2GePt2
1.0
-1.645 0.825 3.908
-2.771 -3.280 -0.474
4.076 -3.807 2.519
Ge Li Pt Zn Al
1 2 2 2 1
Cartesian
-0.170 -3.131 2.977 Ge
1.660 -4.484 1.645 Li
0.208 -0.550 2.591 Li
2.247 -2.454 3.851 Pt
-0.379 -2.580 0.385 Pt
-2.208 -1.227 1.717 Zn
2.038 -1.904 1.260 Zn
0.000 0.000 0.000 Al
```